1.
Material: BaGe6
Method: DFT, GGA-PBE
State: optimized geometry

Calculated values
Magnetic moment = 0.00 μB/cell
V = 333 Å³/cell

Cell: 5.987 5.987 12.587 Å, 90.00 90.00 132.49°
Fractional coordinates of all 14 atoms:
Ba: 0.227 0.773 0.750
Ba: 0.773 0.227 0.250
Ge: 0.058 0.942 0.147
Ge: 0.058 0.942 0.353
Ge: 0.254 0.746 0.037
Ge: 0.254 0.746 0.463
Ge: 0.479 0.521 0.100
Ge: 0.479 0.521 0.400
Ge: 0.521 0.479 0.600
Ge: 0.521 0.479 0.900
Ge: 0.746 0.254 0.537
Ge: 0.746 0.254 0.963
Ge: 0.942 0.058 0.647
Ge: 0.942 0.058 0.853

=====

2.
Material: BaGe6
Method: DFT, GGA-PBE
State: optimized geometry

Calculated values
Magnetic moment = 0.00 μB/cell
V = 184 Å³/cell

Cell: 6.204 6.204 6.204 Å, 109.47 109.47 109.47°
Fractional coordinates of all 7 atoms:
Ba: 0.000 0.000 0.000
Ge: 0.250 0.500 0.750
Ge: 0.250 0.750 0.500
Ge: 0.500 0.250 0.750
Ge: 0.500 0.750 0.250
Ge: 0.750 0.250 0.500
Ge: 0.750 0.500 0.250

=====

Least stable = 2

=====

1.
Material: Ba3Ge
Method: DFT, GGA-PBE
State: optimized geometry

Calculated values
Magnetic moment = 0.00 μB/cell
V = 215 Å³/cell

Cell: 7.538 7.538 7.538 Å, 144.34 72.85 118.84°
Fractional coordinates of all 4 atoms:
Ba: 0.000 0.000 0.000
Ba: 0.286 0.456 0.830
Ba: 0.626 0.456 0.170
Ge: 0.302 0.802 0.500

=====

2.
Material: Ba3Ge
Method: DFT, GGA-PBE
State: optimized geometry

Calculated values
Magnetic moment = 0.15 μB/cell
V = 216 Å³/cell

Cell: 4.266 4.572 11.052 Å, 90.00 90.00 90.00°
Fractional coordinates of all 4 atoms:
Ba: 0.000 0.000 0.000
Ba: 0.000 0.500 0.347
Ba: 0.500 0.500 0.679
Ge: 0.500 0.000 0.463

=====

Least stable = 2

=====

1.
Material: Ba2GeH
Method: DFT, GGA-PBE
State: optimized geometry

Calculated values
Magnetic moment = 0.00 μB/cell
V = 122 Å³/cell

Cell: 5.566 5.566 5.566 Å, 60.00 60.00 60.00°
Fractional coordinates of all 4 atoms:
Ba: 0.250 0.250 0.250
Ba: 0.750 0.750 0.750
Ge: 0.000 0.000 0.000
H: 0.500 0.500 0.500

=====

2.
Material: Ba2GeH
Method: DFT, GGA-PBE
State: optimized geometry

Calculated values
Magnetic moment = 0.00 μB/cell
V = 495 Å³/cell

Cell: 7.028 6.303 12.650 Å, 90.00 118.00 90.00°
Fractional coordinates of all 16 atoms:
Ba: 0.008 0.241 0.413
Ba: 0.008 0.759 0.913
Ba: 0.341 0.243 0.854
Ba: 0.341 0.757 0.354
Ba: 0.659 0.243 0.646
Ba: 0.659 0.757 0.146
Ba: 0.992 0.241 0.087
Ba: 0.992 0.759 0.587
Ge: 0.498 0.259 0.147
Ge: 0.498 0.741 0.647
Ge: 0.502 0.259 0.353
Ge: 0.502 0.741 0.853
H: 0.027 0.197 0.627
H: 0.027 0.803 0.127
H: 0.973 0.197 0.873
H: 0.973 0.803 0.373

=====

Least stable = 1

=====

1.
Material: BaGeH3
Method: DFT, GGA-PBE
State: optimized geometry

Calculated values
Magnetic moment = 0.00 μB/cell
V = 71 Å³/cell

Cell: 4.133 4.133 4.133 Å, 90.00 90.00 90.00°
Fractional coordinates of all 5 atoms:
Ba: 0.000 0.000 0.000
Ge: 0.500 0.500 0.500
H: 0.000 0.500 0.500
H: 0.500 0.000 0.500
H: 0.500 0.500 0.000

=====

2.
Material: BaGeH3
Method: DFT, GGA-PBE
State: optimized geometry

Calculated values
Magnetic moment = 0.00 μB/cell
V = 154 Å³/cell

Cell: 4.552 5.270 6.810 Å, 90.00 109.09 90.00°
Fractional coordinates of all 10 atoms:
Ba: 0.137 0.250 0.271
Ba: 0.863 0.750 0.729
Ge: 0.459 0.250 0.844
Ge: 0.541 0.750 0.156
H: 0.101 0.250 0.853
H: 0.329 0.020 0.646
H: 0.329 0.480 0.646
H: 0.671 0.520 0.354
H: 0.671 0.980 0.354
H: 0.899 0.750 0.147

=====

3.
Material: BaGeH3
Method: DFT, GGA-PBE
State: optimized geometry

Calculated values
Magnetic moment = 0.00 μB/cell
V = 107 Å³/cell

Cell: 4.752 4.752 4.752 Å, 90.00 90.00 90.00°
Fractional coordinates of all 5 atoms:
Ba: 0.000 0.000 0.000
Ge: 0.500 0.500 0.500
H: 0.000 0.000 0.500
H: 0.000 0.500 0.000
H: 0.500 0.000 0.000

=====

Least stable = 3

=====

1.
Material: BaGeH
Method: DFT, GGA-PBE
State: optimized geometry

Calculated values
Magnetic moment = 0.00 μB/cell
V = 148 Å³/cell

Cell: 7.809 7.809 4.226 Å, 90.06 90.06 145.02°
Fractional coordinates of all 6 atoms:
Ba: 0.154 0.846 0.750
Ba: 0.846 0.154 0.250
Ge: 0.454 0.546 0.750
Ge: 0.546 0.454 0.250
H: 0.257 0.743 0.250
H: 0.743 0.257 0.750

=====

2.
Material: BaGeH
Method: DFT, GGA-PBE
State: optimized geometry

Calculated values
Magnetic moment = 0.00 μB/cell
V = 136 Å³/cell

Cell: 9.396 9.396 3.970 Å, 90.00 90.00 157.25°
Fractional coordinates of all 6 atoms:
Ba: 0.095 0.905 0.750
Ba: 0.905 0.095 0.250
Ge: 0.242 0.758 0.250
Ge: 0.758 0.242 0.750
H: 0.445 0.555 0.750
H: 0.555 0.445 0.250

=====

Least stable = 2

=====

1.
Material: BaHg3Ge
Method: DFT, GGA-PBE
State: optimized geometry

Calculated values
Magnetic moment = 2.64 μB/cell
V = 273 Å³/cell

Cell: 6.484 6.484 6.484 Å, 90.00 90.00 90.00°
Fractional coordinates of all 5 atoms:
Ba: 0.000 0.000 0.000
Hg: 0.000 0.000 0.500
Hg: 0.000 0.500 0.000
Hg: 0.500 0.000 0.000
Ge: 0.500 0.500 0.500

=====

2.
Material: BaHg3Ge
Method: DFT, GGA-PBE
State: optimized geometry

Calculated values
Magnetic moment = 0.00 μB/cell
V = 161 Å³/cell

Cell: 5.444 5.444 5.444 Å, 90.00 90.00 90.00°
Fractional coordinates of all 5 atoms:
Ba: 0.000 0.000 0.000
Hg: 0.000 0.500 0.500
Hg: 0.500 0.000 0.500
Hg: 0.500 0.500 0.000
Ge: 0.500 0.500 0.500

=====

Least stable = 1